# 1
This record from Alexandria describes Co2AgRu after structural relaxation. The functional is PBE-GGA.

Cell lengths 2.6908, 4.4723, 9.0454 Å; angles 90.00, 90.00, 90.00 degrees
Closest atoms and distances in Å follow each position.
Space group Imm2 (No. 44)
Inequivalent atoms, fractional coordinates:
Co 0.0000 0.0000 0.0000 [2 per cell]  2 Co 2.37, 2 Ru 2.53, 4 Ag 2.62
Co 0.0000 0.5000 0.2847 [2 per cell]  2 Co 2.37, 4 Ru 2.65
Ag 0.0000 0.0000 0.5193 [2 per cell]  6 Co 2.62-2.75, 2 Ag 2.69, 2 Ru 2.89
Ru 0.0000 0.5000 0.7367 [2 per cell]  6 Co 2.53-2.65, 2 Ru 2.69

Summary:
The value obtained for the total energy is -49.2 eV per cell. For the calculated density, the calculation gives 10.0 g/cm3. For the offset from the most stable computed form, the calculation gives 0.45 eV per formula unit. The calculation puts the calculated formation energy at 0.4360 eV per atom.



# 2
This record from Alexandria describes Co2AgRu after structural relaxation. The functional is PBE-GGA.

Cell lengths 3.7435, 3.7435, 7.7847 Å; angles 90.00, 90.00, 90.00 degrees
Closest atoms and distances in Å follow each position.
Space group I-4m2 (No. 119)
Inequivalent atoms, fractional coordinates:
Co 0.0000 0.0000 0.0000 [2 per cell]  4 Ag 2.65, 4 Co 2.70, 4 Ru 2.70
Co 0.0000 0.5000 0.2500 [2 per cell]  4 Ru 2.65, 4 Co 2.70, 4 Ag 2.70
Ag 0.0000 0.0000 0.5000 [2 per cell]  8 Co 2.65-2.70, 4 Ru 2.70
Ru 0.0000 0.5000 0.7500 [2 per cell]  8 Co 2.65-2.70, 4 Ag 2.70

Summary:
The value obtained for the total energy is -48.8 eV per cell. For the calculated density, the calculation gives 9.9 g/cm3. For the offset from the most stable computed form, the calculation gives 0.66 eV per formula unit. The calculation puts the calculated formation energy at 0.4887 eV per atom.